Density functional theory data (GGA-PBE) for a relaxed Mg2TaZn crystal.

Output
calculated formation energy	0.385	eV per atom

```
data_Mg2TaZn
_chemical_formula_sum 'Mg8 Ta4 Zn4'
_cell_length_a 6.621
_cell_length_b 6.621
_cell_length_c 6.621
_cell_angle_alpha 90.00
_cell_angle_beta 90.00
_cell_angle_gamma 90.00
_space_group_name_H-M_alt 'P 1'
_space_group_IT_number 1
loop_
_space_group_symop_operation_xyz
'x,y,z'
loop_
_atom_site_label
_atom_site_type_symbol
_atom_site_fract_x
_atom_site_fract_y
_atom_site_fract_z
Mg1 Mg 0.000 0.000 0.000
Mg2 Mg 0.000 0.500 0.500
Mg3 Mg 0.250 0.250 0.250
Mg4 Mg 0.250 0.750 0.750
Mg5 Mg 0.500 0.000 0.500
Mg6 Mg 0.500 0.500 0.000
Mg7 Mg 0.750 0.250 0.750
Mg8 Mg 0.750 0.750 0.250
Ta1 Ta 0.000 0.000 0.500
Ta2 Ta 0.000 0.500 0.000
Ta3 Ta 0.500 0.000 0.000
Ta4 Ta 0.500 0.500 0.500
Zn1 Zn 0.250 0.250 0.750
Zn2 Zn 0.250 0.750 0.250
Zn3 Zn 0.750 0.250 0.250
Zn4 Zn 0.750 0.750 0.750
```